(1)
DFT (GGA-PBE) results for a geometry-optimized CdSn2IBrO2 structure.

Computed properties:
* calculated volume: 171.85 Å³/cell
* total DFT energy (no corrections): -4.14 eV/atom

Geometry as POSCAR:
```
CdSn2IBrO2
1.0
-5.245 3.897 0.953
-6.577 0.266 0.524
4.550 -2.425 6.402
Br Cd I O Sn
1 1 1 2 2
Cartesian
-5.324 1.634 2.705
0.014 -0.013 0.063
-1.980 0.131 5.046
-2.065 0.674 0.711
-5.197 1.055 7.218
-8.566 2.844 2.526
1.302 -1.111 5.367
```

(2)
DFT (GGA-PBE) results for a geometry-optimized GdHgSO structure.

Computed properties:
* total magnetization: 0.001 μB/atom
* excess energy over the best structure of this formula in the dataset: 0 meV/atom
* calculated volume: 415.44 Å³/cell

Geometry as POSCAR:
```
GdHgSO
1.0
5.673 0.000 0.009
0.000 5.673 0.000
-0.406 0.000 12.907
Gd Hg O S
4 4 4 4
Cartesian
2.821 1.827 1.095
-0.008 4.669 1.108
5.275 1.833 11.809
2.447 4.663 11.821
5.554 1.925 3.440
3.350 3.368 6.415
1.917 0.532 6.501
-0.286 4.761 9.477
4.257 0.406 0.007
1.416 3.242 0.002
1.400 0.398 0.004
3.867 3.234 12.913
3.902 3.585 3.135
1.537 0.272 3.175
3.731 3.109 9.742
1.366 0.749 9.782
```

(3)
DFT (GGA-PBE) results for a geometry-optimized Y4Cu3Mo2N3 structure.

Computed properties:
* total magnetization: 0.002 μB/atom
* calculated volume: 388.82 Å³/cell
* total DFT energy (no corrections): -7.54 eV/atom

Geometry as POSCAR:
```
Y4Cu3Mo2N3
1.0
4.992 -2.912 0.000
4.992 2.912 0.000
-3.590 0.000 13.372
Cu Mo N Y
6 4 6 8
Cartesian
5.289 1.188 3.331
4.095 -0.883 3.343
2.900 1.188 3.355
3.494 -1.188 10.017
2.300 0.883 10.029
1.105 -1.188 10.042
4.106 0.517 0.864
4.083 0.517 5.823
2.311 -0.517 7.550
2.289 -0.517 12.509
2.496 1.456 0.000
5.803 1.412 0.003
2.387 1.412 6.683
0.701 -1.456 6.686
4.008 -1.412 6.689
0.592 -1.412 13.370
0.815 0.432 1.458
7.522 0.518 1.459
0.668 0.518 5.228
7.375 0.432 5.228
-0.980 -0.432 8.144
5.727 -0.518 8.145
-1.127 -0.518 11.914
5.580 -0.432 11.914
```

(4)
DFT (GGA-PBE) results for a geometry-optimized ZrAlFe structure.

Computed properties:
* total magnetization: 0.001 μB/atom
* calculated volume: 188.58 Å³/cell
* total DFT energy (no corrections): -7.24 eV/atom

Geometry as POSCAR:
```
ZrAlFe
1.0
6.267 0.000 0.000
0.000 3.907 0.000
0.000 0.000 7.701
Al Fe Zr
4 4 4
Cartesian
0.886 2.930 0.405
4.020 2.930 3.445
2.247 0.977 4.256
5.381 0.977 7.296
4.709 2.930 1.046
1.575 2.930 2.805
4.692 0.977 4.896
1.558 0.977 6.656
2.928 0.977 1.353
6.061 0.977 2.498
0.206 2.930 5.203
3.339 2.930 6.348
```

(5)
DFT (GGA-PBE) results for a geometry-optimized Gd2Si2O7 structure.

Computed properties:
* total magnetization: 0.000 μB/atom
* calculated volume: 510.89 Å³/cell
* total DFT energy (no corrections): -8.17 eV/atom

Geometry as POSCAR:
```
Gd2Si2O7
1.0
-1.143 4.726 4.338
3.666 -3.209 4.462
10.304 3.096 -6.240
Gd O Si
8 28 8
Cartesian
4.155 -0.206 5.171
1.799 3.483 4.125
6.366 -0.847 2.149
4.568 2.355 1.783
8.259 2.259 0.776
6.461 5.460 0.409
11.028 1.130 -1.566
8.672 4.820 -2.612
1.281 -0.395 1.453
2.237 -0.229 3.966
-0.290 3.523 2.885
3.115 2.067 5.447
4.846 -1.839 3.639
2.183 1.982 2.337
3.803 0.023 1.758
5.688 1.454 6.129
5.687 0.912 3.579
4.034 3.849 3.506
3.949 1.533 -0.513
6.217 1.073 0.666
4.414 4.191 0.465
6.652 3.234 4.540
6.175 1.379 -1.981
8.414 0.422 2.094
6.610 3.541 1.893
8.878 3.080 3.071
8.793 0.764 -0.948
7.140 3.701 -1.020
7.140 3.159 -3.570
9.025 4.590 0.801
10.644 2.631 0.221
7.981 6.452 -1.081
9.712 2.546 -2.888
13.118 1.090 -0.326
10.590 4.842 -1.407
11.546 5.008 1.106
2.880 1.859 7.042
2.371 0.349 2.472
6.596 1.585 4.780
5.347 0.723 -0.692
7.480 3.890 3.251
6.231 3.028 -2.221
10.456 4.264 0.087
9.947 2.754 -4.484
```

(6)
DFT (GGA-PBE) results for a geometry-optimized Co2AgSn structure.

Computed properties:
* total magnetization: 0.001 μB/atom
* calculated volume: 60.23 Å³/cell
* total DFT energy (no corrections): -4.84 eV/atom

Geometry as POSCAR:
```
Co2AgSn
1.0
-1.295 1.814 3.794
-2.358 3.715 -0.030
-4.249 -0.082 1.140
Ag Co Sn
1 2 1
Cartesian
-1.975 1.362 1.226
0.000 0.000 0.000
-5.926 4.085 3.678
-3.951 2.723 2.452
```